A geometry-optimized LaWO4F structure, computed with PBE with a Hubbard U.

Lattice parameters (Å, degrees): 6.3516 6.3516 7.2950 75.82 75.82 75.25
Element x y z (fractional)
W (0.3498, 0.3498, 0.2763)
W (0.6502, 0.6502, 0.7237)
O (0.5207, 0.8877, 0.8413)
O (0.2655, 0.2655, 0.5328)
O (0.7345, 0.7345, 0.4672)
O (0.8877, 0.5207, 0.8413)
O (0.1123, 0.4793, 0.1587)
O (0.5369, 0.5369, 0.2230)
O (0.4793, 0.1123, 0.1587)
O (0.4631, 0.4631, 0.7770)
F (0.0150, 0.0150, 0.1710)
F (0.9850, 0.9850, 0.8290)
La (0.2048, 0.2048, 0.8858)
La (0.7952, 0.7952, 0.1142)

Computed properties:
Its calculated total energy is -7.638 eV/atom.